Zr2HgN, relaxed, DFT GGA-PBE; size of the total moment = 0.00 μB per cell; relative energy among the computed polymorphs = 0.0000 eV/atom; uncorrected formation energy = -0.995 eV/atom; crystal system = trigonal
1.0
1.6718 0.9652 7.2848
-1.6718 0.9652 7.2848
0.0000 -1.9304 7.2848
Zr Hg N
2 1 1
direct
0.2222 0.2222 0.2222 Zr
0.7778 0.7778 0.7778 Zr
0.0000 0.0000 0.0000 Hg
0.5000 0.5000 0.5000 N

=====

HPdRuW2, relaxed, DFT GGA-PBE; size of the total moment = 0.00 μB per cell; relative energy among the computed polymorphs = 0.0000 eV/atom; crystal system = tetragonal
1.0
3.9767 0.0000 0.0000
0.0000 3.9767 0.0000
0.0000 0.0000 3.9764
H Pd Ru W
1 1 1 2
direct
0.0000 0.0000 0.0000 H
0.5000 0.5000 0.5000 Pd
0.0000 0.0000 0.5000 Ru
0.0000 0.5000 0.0000 W
0.5000 0.0000 0.0000 W

=====

RuRh2W, relaxed, DFT GGA-PBE; energy relative to the elements = 0.330 eV per atom; size of the total moment = 0.84 μB per cell; relative energy among the computed polymorphs = 0.5135 eV/atom; crystal system = cubic
1.0
0.0000 3.1011 3.1011
3.1011 0.0000 3.1011
3.1011 3.1011 0.0000
Ru Rh W
1 2 1
direct
0.0000 0.0000 0.0000 Ru
0.2500 0.2500 0.2500 Rh
0.7500 0.7500 0.7500 Rh
0.5000 0.5000 0.5000 W

=====

MgRhW3, relaxed, DFT GGA-PBE; energy relative to the elements = 1.819 eV per atom; size of the total moment = 0.00 μB per cell; relative energy among the computed polymorphs = 0.0000 eV/atom; crystal system = cubic
1.0
4.7392 0.0000 0.0000
0.0000 4.7392 0.0000
0.0000 0.0000 4.7392
Mg Rh W
1 1 3
direct
0.0000 0.0000 0.0000 Mg
0.5000 0.5000 0.5000 Rh
0.0000 0.5000 0.5000 W
0.5000 0.0000 0.5000 W
0.5000 0.5000 0.0000 W

=====

Th6Co2RhSe3, relaxed, DFT GGA-PBE; size of the total moment = 0.00 μB per cell; uncorrected formation energy = -1.030 eV/atom; crystal system = monoclinic
1.0
9.1780 -2.0709 0.0000
9.1780 2.0709 0.0000
-2.8733 0.0000 8.2161
Th Co Rh Se
6 2 1 3
direct
0.0150 0.0150 0.2430 Th
0.3203 0.3203 0.4343 Th
0.3399 0.3399 0.8945 Th
0.6601 0.6601 0.1055 Th
0.6797 0.6797 0.5657 Th
0.9850 0.9850 0.7570 Th
0.1678 0.1678 0.3343 Co
0.8322 0.8322 0.6657 Co
0.5000 0.5000 0.0000 Rh
0.1647 0.1647 0.8318 Se
0.5000 0.5000 0.5000 Se
0.8353 0.8353 0.1682 Se

=====

NbSbTeI2, relaxed, DFT GGA-PBE; size of the total moment = 2.91 μB per cell; relative energy among the computed polymorphs = 0.0357 eV/atom; uncorrected formation energy = 0.371 eV/atom; crystal system = tetragonal
1.0
5.5800 0.0000 0.0000
0.0000 5.5800 0.0000
0.0000 0.0000 5.5239
Nb Sb Te I
1 1 1 2
direct
0.0000 0.0000 0.0000 Nb
0.5000 0.5000 0.5000 Sb
0.0000 0.0000 0.5000 Te
0.0000 0.5000 0.0000 I
0.5000 0.0000 0.0000 I

=====

TiMnPb3, relaxed, DFT GGA-PBE; energy relative to the elements = 0.711 eV per atom; size of the total moment = 5.31 μB per cell; relative energy among the computed polymorphs = 0.0488 eV/atom; crystal system = cubic
1.0
5.2152 0.0000 0.0000
0.0000 5.2152 0.0000
0.0000 0.0000 5.2152
Ti Mn Pb
1 1 3
direct
0.0000 0.0000 0.0000 Ti
0.5000 0.5000 0.5000 Mn
0.0000 0.5000 0.5000 Pb
0.5000 0.0000 0.5000 Pb
0.5000 0.5000 0.0000 Pb

=====

Nb2Co2Ni, relaxed, DFT GGA-PBE; energy relative to the elements = -0.104 eV per atom; size of the total moment = 0.00 μB per cell; relative energy among the computed polymorphs = 0.0233 eV/atom; crystal system = tetragonal
1.0
6.7022 0.0000 0.0000
0.0000 6.7022 0.0000
0.0000 0.0000 3.1063
Nb Co Ni
4 4 2
direct
0.1740 0.3260 0.0000 Nb
0.3260 0.8260 0.0000 Nb
0.6740 0.1740 0.0000 Nb
0.8260 0.6740 0.0000 Nb
0.1315 0.6315 0.5000 Co
0.3685 0.1315 0.5000 Co
0.6315 0.8685 0.5000 Co
0.8685 0.3685 0.5000 Co
0.0000 0.0000 0.5000 Ni
0.5000 0.5000 0.5000 Ni

=====

Question: What is the size of the total moment in the fifth record?
Answer: 0.00 μB per cell

=====

Question: Which formula does entry 1 have?
Answer: Zr2HgN